[1]
Density functional theory data (PBE) for a relaxed structure of Y2CuP3Rh12.

```
Y2CuP3Rh12
1.0
-3.212 5.831 0.440
-0.688 1.096 -6.545
-6.199 -2.386 -0.622
Y Cu P Rh
2 1 3 12
Cartesian
-6.310 2.837 -4.203
-3.789 1.704 -2.524
0.000 0.000 0.000
-1.606 2.916 0.220
-0.344 0.548 -3.272
-3.100 -1.193 -0.311
-7.064 0.369 -2.802
-5.267 4.952 -5.260
-6.759 0.848 -5.791
-5.443 4.828 -2.226
-8.019 3.213 -2.301
-4.074 2.259 -6.016
-3.035 4.172 -3.925
-4.832 -0.412 -1.467
-3.340 3.693 -0.937
-4.656 -0.287 -4.501
-2.080 1.328 -4.426
-6.025 2.282 -0.711
```

Results
- DFT formation energy (eV per atom) = -0.239
- calculated volume (Å³/atom) = 16.12
- SG = R-3m (166)

[2]
Density functional theory data (PBE) for a relaxed structure of Sr2RePt.

```
Sr2RePt
1.0
3.571 -0.013 0.000
-0.369 3.552 0.000
0.000 0.000 9.074
Pt Re Sr
1 1 2
Cartesian
0.000 0.000 5.245
1.601 1.769 6.050
0.000 0.000 8.386
1.601 1.769 3.005
```

Results
- energy above the most stable polymorph in this dataset (eV per atom) = 0.204
- DFT formation energy (eV per atom) = 0.324
- calculated volume (Å³/atom) = 28.76
- SG = Cmm2 (35)

[3]
Density functional theory data (PBE) for a relaxed structure of TmNpSc2.

```
TmNpSc2
1.0
3.260 0.000 0.000
1.630 2.824 0.000
1.630 0.941 10.884
Np Sc Tm
1 2 1
Cartesian
0.000 0.000 0.000
4.891 2.824 8.260
1.630 0.941 2.624
3.260 1.882 5.442
```

Results
- DFT formation energy (eV per atom) = 0.244
- calculated volume (Å³/atom) = 25.05
- SG = R-3m (166)

[4]
Density functional theory data (PBE) for a relaxed structure of Pr2TmHg8.

```
Pr2TmHg8
1.0
-0.984 -4.870 1.173
5.970 -2.075 -3.605
2.297 3.920 7.091
Pr Tm Hg
2 1 8
Cartesian
2.596 -2.282 3.812
4.687 -0.743 0.847
-0.492 -2.435 0.587
4.797 0.051 4.233
5.399 -3.794 -0.112
5.788 -3.147 2.897
2.864 -1.560 7.034
1.495 0.122 1.762
1.884 0.769 4.771
2.486 -3.076 0.426
4.420 -1.465 -2.375
```

Results
- DFT formation energy (eV per atom) = -0.337
- calculated volume (Å³/atom) = 25.47
- SG = C2/m (12)

[5]
Density functional theory data (PBE) for a relaxed structure of RbPrH.

```
RbPrH
1.0
3.759 0.000 0.000
-1.880 3.261 0.000
0.000 0.000 14.813
Pr H Rb
2 2 2
Cartesian
0.000 1.858 13.171
0.000 1.858 1.642
1.880 0.779 0.000
0.000 1.761 7.407
1.880 0.676 5.535
1.880 0.676 9.278
```

Results
- calculated volume (Å³/atom) = 30.27
- VASP energy (Ry/atom) = -0.21369
- SG = Amm2 (38)

[6]
Density functional theory data (PBE) for a relaxed structure of KRb2BS.

```
KRb2BS
1.0
6.375 0.000 0.000
0.000 5.991 0.000
0.000 0.000 6.375
K B S Rb
1 1 1 2
Cartesian
0.000 2.995 0.000
3.188 2.995 3.188
0.000 0.000 0.000
0.000 0.000 3.188
3.188 0.000 0.000
```

Results
- calculated volume (Å³/atom) = 48.70
- VASP energy (Ry/atom) = -0.17491
- SG = P4/mmm (123)

[7]
Density functional theory data (PBE) for a relaxed structure of TbPaGeAu.

```
TbPaGeAu
1.0
-1.225 2.124 -4.478
-4.606 -0.825 -2.042
-3.427 3.780 -0.180
Tb Ge Pa Au
1 1 1 1
Cartesian
-4.629 2.540 -3.350
-2.315 1.270 -1.675
0.000 0.000 0.000
-6.944 3.810 -5.025
```

Results
- DFT formation energy (eV per atom) = -0.408
- calculated volume (Å³/atom) = 23.53
- SG = F-43m (216)

[8]
Density functional theory data (PBE) for a relaxed structure of Ga4Hg11P4Cl16.

```
Ga4Hg11P4Cl16
1.0
-4.773 4.739 3.646
-5.008 -2.770 5.077
11.790 3.235 18.910
Ga Hg P Cl
4 11 4 16
Cartesian
1.107 3.233 17.141
0.902 1.971 10.491
8.315 3.273 18.537
-6.306 1.931 9.095
5.984 4.067 22.322
-3.975 1.137 5.310
-2.079 3.900 20.121
4.088 1.304 7.512
5.895 1.617 9.455
1.937 3.993 21.267
0.072 1.211 6.365
4.317 1.619 19.428
4.435 5.377 18.712
-2.308 3.585 8.204
-2.426 -0.173 8.920
4.250 3.782 20.541
-2.241 1.422 7.091
-0.371 4.200 21.975
2.380 1.004 5.657
6.839 3.009 16.911
-4.829 2.195 10.721
10.320 3.043 17.662
-8.311 2.161 9.970
0.869 1.742 18.769
0.978 5.229 18.105
1.140 3.462 8.863
1.031 -0.025 9.527
3.196 3.029 16.415
-1.187 2.175 11.217
7.919 1.727 20.055
8.031 5.289 19.376
-5.910 3.477 7.577
-6.022 -0.085 8.257
-0.349 2.977 15.562
2.358 2.227 12.070
```

Results
- calculated volume (Å³/atom) = 32.03
- VASP energy (Ry/atom) = -0.19184
- SG = C2/m (12)

[9]
Density functional theory data (PBE) for a relaxed structure of YFe2.

```
YFe2
1.0
-3.095 -3.068 3.798
-2.288 3.574 3.926
-0.026 0.114 -5.780
Y Fe
2 4
Cartesian
-4.037 0.379 5.793
-1.346 0.126 1.931
-3.228 -1.362 3.594
-4.001 0.845 2.911
-1.408 -0.226 -0.967
-2.181 1.982 -1.650
```

Results
- DFT formation energy (eV per atom) = 0.191
- calculated volume (Å³/atom) = 17.60
- SG = I4/mcm (140)

[10]
Density functional theory data (PBE) for a relaxed structure of TbGdTlSn.

```
TbGdTlSn
1.0
5.386 0.000 0.000
2.693 4.665 0.000
2.693 1.555 4.398
Tl Gd Tb Sn
1 1 1 1
Cartesian
8.079 4.665 3.298
0.000 0.000 0.000
5.386 3.110 2.199
2.693 1.555 1.099
```

Results
- DFT formation energy (eV per atom) = -0.484
- calculated volume (Å³/atom) = 27.62
- SG = F-43m (216)

[11]
Density functional theory data (PBE) for a relaxed structure of GdSc2Ni.

```
GdSc2Ni
1.0
-0.581 2.761 2.151
-3.279 0.673 1.176
0.174 -4.025 8.140
Sc Ni Gd
2 1 1
Cartesian
-1.035 0.254 2.320
-2.651 -0.845 9.147
0.000 0.000 0.000
-1.843 -0.295 5.734
```

Results
- energy above the most stable polymorph in this dataset (eV per atom) = 0.137
- DFT formation energy (eV per atom) = -0.063
- calculated volume (Å³/atom) = 24.12
- SG = R-3m (166)

[12]
Density functional theory data (PBE) for a relaxed structure of YCdP2O.

```
YCdP2O
1.0
-4.214 0.181 2.563
2.463 -1.122 4.128
0.618 4.045 0.731
Y P O Cd
1 2 1 1
Cartesian
-0.567 1.552 3.711
1.231 -0.561 2.064
-2.107 0.090 1.282
0.309 2.023 0.366
0.000 0.000 0.000
```

Results
- energy above the most stable polymorph in this dataset (eV per atom) = 0.113
- calculated volume (Å³/atom) = 20.26
- SG = P4/mmm (123)

[13]
Density functional theory data (PBE) for a relaxed structure of ScGaPb.

```
ScGaPb
1.0
-0.983 2.741 1.681
-0.688 -1.896 2.690
12.430 1.213 1.931
Ga Sc Pb
2 2 2
Cartesian
6.473 0.913 2.298
4.286 1.145 4.004
3.451 0.487 1.225
7.309 1.571 5.077
0.614 0.627 2.700
10.145 1.431 3.602
```

Results
- energy above the most stable polymorph in this dataset (eV per atom) = 0.000
- DFT formation energy (eV per atom) = -0.244
- calculated volume (Å³/atom) = 23.39
- SG = I4/mmm (139)

[14]
Density functional theory data (PBE) for a relaxed structure of CrAg2Mo.

```
CrAg2Mo
1.0
0.000 3.241 3.241
3.241 0.000 3.241
3.241 3.241 0.000
Cr Mo Ag
1 1 2
Cartesian
0.000 0.000 0.000
3.241 3.241 3.241
1.620 1.620 1.620
4.861 4.861 4.861
```

Results
- energy above the most stable polymorph in this dataset (eV per atom) = 0.458
- DFT formation energy (eV per atom) = 0.796
- calculated volume (Å³/atom) = 17.02
- SG = Fm-3m (225)

[15]
Density functional theory data (PBE) for a relaxed structure of Ac12Sn6Au.

```
Ac12Sn6Au
1.0
9.533 -0.097 -0.116
-1.541 9.408 -0.116
-1.541 -1.795 9.236
Ac Sn Au
12 6 1
Cartesian
6.168 4.565 3.886
2.038 6.553 5.185
3.577 2.610 7.374
0.283 2.951 5.117
4.413 0.963 3.818
2.874 4.905 1.629
-1.431 8.535 2.857
-2.202 4.683 8.612
4.962 8.735 0.096
7.882 -1.019 6.146
8.653 2.833 0.392
1.488 -1.220 8.908
4.655 7.498 3.212
5.357 2.638 1.052
-0.255 5.380 2.784
1.796 0.018 5.791
1.094 4.877 7.951
6.705 2.135 6.220
0.000 0.000 0.000
```

Results
- DFT formation energy (eV per atom) = -0.412
- calculated volume (Å³/atom) = 43.31
- SG = R-3 (148)

[16]
Density functional theory data (PBE) for a relaxed structure of Eu2InPd.

```
Eu2InPd
1.0
-3.853 -3.723 0.111
0.862 -4.675 2.473
-2.525 -1.106 4.595
Eu Pd In
2 1 1
Cartesian
-1.379 -2.376 1.795
-4.137 -7.128 5.384
-2.758 -4.752 3.590
0.000 0.000 0.000
```

Results
- energy above the most stable polymorph in this dataset (eV per atom) = 0.077
- DFT formation energy (eV per atom) = -0.460
- calculated volume (Å³/atom) = 27.20
- SG = Fm-3m (225)

[17]
Density functional theory data (PBE) for a relaxed structure of Se2IBrN.

```
Se2IBrN
1.0
5.705 0.000 0.000
0.000 5.705 0.000
0.000 0.000 3.966
I Se Br N
1 2 1 1
Cartesian
0.000 0.000 0.000
0.000 2.852 0.000
2.852 0.000 0.000
2.852 2.852 1.983
0.000 0.000 1.983
```

Results
- energy above the most stable polymorph in this dataset (eV per atom) = 0.300
- calculated volume (Å³/atom) = 25.82
- SG = P4/mmm (123)

[18]
Density functional theory data (PBE) for a relaxed structure of Zr2RuPb.

```
Zr2RuPb
1.0
-1.092 -1.803 2.405
2.851 -1.432 0.220
2.456 5.723 5.406
Pb Ru Zr
1 1 2
Cartesian
1.494 -0.187 2.664
2.721 2.675 5.367
2.345 5.464 5.161
1.339 3.120 2.947
```

Results
- DFT formation energy (eV per atom) = -0.321
- calculated volume (Å³/atom) = 21.09
- SG = P4/mmm (123)